First-principles (GGA-PBE) data for crystalline SbTe2P2 at its relaxed geometry, as listed in Alexandria.

Cell and atoms, written as POSCAR:
```
SbTe2P2
1.0
-8.536 1.224 1.432
-1.723 -7.763 -3.632
0.310 -1.555 3.176
Sb Te P
2 4 4
Direct
0.000 0.000 0.000
0.500 0.500 0.000
0.288 0.788 0.000
0.788 0.712 0.000
0.712 0.212 0.000
0.212 0.288 0.000
0.142 0.642 0.500
0.642 0.858 0.500
0.858 0.358 0.500
0.358 0.142 0.500
```

Properties
The size of the total moment is 0.00 μB/atom. The raw formation energy comes out at 457 meV/atom. Its total energy is -37.877 eV/cell. Its theoretical density is 5.37 g/cm³.